1.
A plane-wave DFT calculation with SCAN was carried out for a PBEsol-optimized structure of BaCa2Re.

Properties
ΔH_f (0 K) ... 0.79 eV per atom
Total energy ... -31.70 eV per atom
Density of states at the Fermi level ... 4.8 states/eV per cell

Lattice parameters (Å, degrees): 3.1852 3.6232 10.5526 90.00 90.29 90.00
Closest atoms and distances in Å follow each position.
Element x y z (fractional)
Ca  0.9972  0.0000  0.8297  4 Re 3.01, 2 Ca 3.19
Ca  0.0028  0.0000  0.1703  4 Re 3.01, 2 Ca 3.19
Ba  0.5000  0.5000  0.5000  2 Ba 3.19
Re  0.5000  0.5000  0.0000  8 Ca 3.01, 2 Re 3.19

---

2.
A plane-wave DFT calculation with SCAN was carried out for a PBEsol-optimized structure of MnFePb2.

Properties
ΔH_f (0 K) ... 0.30 eV per atom
Total energy ... -46.68 eV per atom
Density of states at the Fermi level ... 2.8 states/eV per cell

Lattice parameters (Å, degrees): 3.6315 4.0251 5.4412 90.00 109.49 90.00
Closest atoms and distances in Å follow each position.
Element x y z (fractional)
Fe  0.8255  0.0000  0.6509  2 Mn 2.49
Pb  0.1098  0.0000  0.2197  4 Mn 2.81, 3 Fe 2.86-2.92
Pb  0.3999  0.5000  0.7998  4 Fe 2.82, 3 Mn 2.87-2.90
Mn  0.6829  0.5000  0.3658  2 Fe 2.49

---

3.
A plane-wave DFT calculation with SCAN was carried out for a PBEsol-optimized structure of La2SbCl.

Properties
Energy relative to the elements, uncorrected ... -805 meV per atom
Total energy ... -33.67 eV per atom
Density of states at the Fermi level ... 2.8 states/eV per cell

Lattice parameters (Å, degrees): 3.8130 3.8130 10.1587 79.18 79.18 60.00
Closest atoms and distances in Å follow each position.
Element x y z (fractional)
Sb  0.4897  0.4897  0.5309  3 La 3.18
Cl  0.2688  0.2688  0.1937  3 La 2.84
La  0.9956  0.9956  0.0132  3 Cl 2.84
La  0.7459  0.7459  0.7622  3 Sb 3.18, 3 La 3.32

---

4.
A plane-wave DFT calculation with SCAN was carried out for a PBEsol-optimized structure of FeCl3.

Properties
Energy relative to the elements, uncorrected ... -800 meV per atom
Total energy ... -11.32 eV per atom
Density of states at the Fermi level ... 15.3 states/eV per cell

Lattice parameters (Å, degrees): 5.7212 5.7212 17.5251 90.00 90.00 120.00
Closest atoms and distances in Å follow each position.
Element x y z (fractional)
Cl  0.3332  0.3069  0.9281  2 Fe 2.23
Cl  0.6931  0.6668  0.0719  2 Fe 2.23
Cl  0.9736  0.6668  0.9281  2 Fe 2.23
Cl  0.3597  0.3599  0.2574  2 Fe 2.23
Cl  0.9999  0.6401  0.5987  2 Fe 2.23
Cl  0.6402  0.6401  0.4013  2 Fe 2.23
Cl  0.9999  0.3598  0.4013  2 Fe 2.23
Cl  0.6401  0.6403  0.7426  2 Fe 2.23
Cl  0.3599  0.3598  0.5987  2 Fe 2.23
Cl  0.3597  0.9998  0.7426  2 Fe 2.23
Cl  0.6931  0.0264  0.9281  2 Fe 2.23
Cl  0.0002  0.6403  0.2574  2 Fe 2.23
Cl  0.6402  0.0001  0.5987  2 Fe 2.23
Cl  0.3599  0.0001  0.4013  2 Fe 2.23
Cl  0.0002  0.3599  0.7426  2 Fe 2.23
Cl  0.9736  0.3069  0.0719  2 Fe 2.23
Cl  0.3332  0.0264  0.0719  2 Fe 2.23
Cl  0.6401  0.9998  0.2574  2 Fe 2.23
Fe  0.6667  0.3333  0.0000  6 Cl 2.23
Fe  0.6667  0.3333  0.3292  6 Cl 2.23
Fe  0.3333  0.6667  0.6707  6 Cl 2.23
Fe  0.6667  0.3333  0.6708  6 Cl 2.23
Fe  0.3333  0.6667  0.3293  6 Cl 2.23
Fe  0.0000  0.0000  0.0000  6 Cl 2.23

---

5.
A plane-wave DFT calculation with SCAN was carried out for a PBEsol-optimized structure of BeAl2Tc.

Properties
ΔH_f (0 K) ... -0.44 eV per atom
Total energy ... -14.17 eV per atom
Density of states at the Fermi level ... 0.7 states/eV per cell

Lattice parameters (Å, degrees): 3.2211 3.9208 4.7561 114.34 109.79 90.00
Closest atoms and distances in Å follow each position.
Element x y z (fractional)
Tc  0.2353  0.7353  0.4707  2 Be 2.44, 6 Al 2.55-2.64
Al  0.7630  0.2630  0.5261  2 Be 2.54, 4 Tc 2.55, 4 Al 2.69-2.71
Al  0.9948  0.9948  0.9895  4 Be 2.54, 4 Tc 2.64-2.75, 4 Al 2.69-2.71
Be  0.5069  0.5069  0.0137  2 Tc 2.44, 6 Al 2.54

---

6.
A plane-wave DFT calculation with SCAN was carried out for a PBEsol-optimized structure of CuIrCl.

Properties
Energy relative to the elements, uncorrected ... 1458 meV per atom
Total energy ... -29.97 eV per atom
Density of states at the Fermi level ... 4.0 states/eV per cell

Lattice parameters (Å, degrees): 4.0318 4.0318 4.0318 60.00 60.00 60.00
Closest atoms and distances in Å follow each position.
Element x y z (fractional)
Ir  0.5000  0.5000  0.5000  4 Cl 2.47
Cl  0.2500  0.2500  0.2500  4 Cu 2.47, 4 Ir 2.47
Cu  0.0000  0.0000  0.0000  4 Cl 2.47